# Cd6GaAg8

An optimized crystal structure of Cd6GaAg8 (PBE-GGA, Alexandria).

Output
* final energy: -2.0633 eV/atom
* space group: R-3
* E_form: 25 meV per atom

Geometry as POSCAR:
```
Cd6GaAg8
1.0
3.761 2.171 6.045
-3.761 2.171 6.045
0.000 -4.343 6.045
Cd Ga Ag
6 1 8
Cartesian
-1.980 -1.875 8.021 Cd
-2.614 0.778 10.114 Cd
0.633 -2.652 10.114 Cd
-0.633 2.652 8.021 Cd
2.614 -0.778 8.021 Cd
1.980 1.875 10.114 Cd
0.000 0.000 9.068 Ga
-2.708 0.814 7.175 Ag
-2.059 -1.938 10.960 Ag
0.649 -2.752 7.175 Ag
0.000 0.000 6.361 Ag
0.000 0.000 11.775 Ag
-0.649 2.752 10.960 Ag
2.059 1.938 7.175 Ag
2.708 -0.814 10.960 Ag
```

# CdGa6Ag2

An optimized crystal structure of CdGa6Ag2 (PBE-GGA, Alexandria).

Output
* final energy: -2.6989 eV/atom
* space group: C2/m
* E_form: 54 meV per atom

Geometry as POSCAR:
```
CdGa6Ag2
1.0
7.598 -4.113 0.000
7.598 4.113 0.000
-0.519 0.000 2.843
Cd Ga Ag
1 6 2
Cartesian
0.000 0.000 0.000 Cd
4.700 1.352 0.914 Ga
7.338 1.372 1.422 Ga
4.700 -1.352 0.914 Ga
9.977 1.352 1.929 Ga
7.338 -1.372 1.422 Ga
9.977 -1.352 1.929 Ga
2.308 0.000 1.922 Ag
12.369 0.000 0.921 Ag
```

# CdGaAg3

An optimized crystal structure of CdGaAg3 (PBE-GGA, Alexandria).

Output
* final energy: -2.5047 eV/atom
* space group: P2_1/c
* E_form: -6 meV per atom

Geometry as POSCAR:
```
CdGaAg3
1.0
7.242 0.000 0.000
0.000 5.945 0.000
-5.155 0.000 8.524
Cd Ga Ag
4 4 12
Cartesian
1.202 0.776 0.469 Cd
-1.375 2.197 4.731 Cd
3.462 3.748 3.794 Cd
0.885 5.169 8.056 Cd
-1.578 3.730 7.285 Ga
1.000 5.187 3.023 Ga
1.087 0.758 5.501 Ga
3.664 2.215 1.239 Ga
-1.264 3.708 2.154 Ag
-3.842 5.209 6.417 Ag
1.208 3.704 0.477 Ag
-1.369 5.213 4.739 Ag
-1.505 0.779 7.285 Ag
1.072 2.194 3.023 Ag
1.015 3.751 5.502 Ag
3.592 5.166 1.240 Ag
3.456 0.731 3.785 Ag
0.879 2.241 8.047 Ag
5.928 0.736 2.108 Ag
3.351 2.237 6.370 Ag
```

# CdGa4Ag5

An optimized crystal structure of CdGa4Ag5 (PBE-GGA, Alexandria).

Output
* final energy: -2.6230 eV/atom
* space group: I4
* E_form: 105 meV per atom

Geometry as POSCAR:
```
CdGa4Ag5
1.0
-4.331 4.331 2.631
4.331 -4.331 2.631
4.331 4.331 -2.631
Cd Ga Ag
1 4 5
Cartesian
0.000 0.000 0.000 Cd
5.578 2.093 -0.991 Ga
2.093 3.084 -0.991 Ga
2.238 1.247 1.640 Ga
-1.247 2.238 1.640 Ga
3.738 -1.301 1.630 Ag
4.924 1.301 1.630 Ag
0.000 0.000 2.673 Ag
1.301 3.738 1.630 Ag
-1.301 4.924 1.630 Ag
```

# Cd3Ga3Ag5

An optimized crystal structure of Cd3Ga3Ag5 (PBE-GGA, Alexandria).

Output
* final energy: -2.1909 eV/atom
* space group: P-62m
* E_form: 180 meV per atom

Geometry as POSCAR:
```
Cd3Ga3Ag5
1.0
8.049 0.000 0.000
-4.025 6.971 0.000
0.000 0.000 4.911
Cd Ga Ag
3 3 5
Cartesian
-2.054 3.557 0.000 Cd
1.971 3.414 0.000 Cd
4.107 0.000 0.000 Cd
-1.392 2.410 2.455 Ga
2.783 0.000 2.455 Ga
2.633 4.560 2.455 Ga
-2.861 4.955 2.455 Ag
1.164 2.015 2.455 Ag
0.000 4.647 2.455 Ag
4.025 2.324 2.455 Ag
5.722 0.000 2.455 Ag
```

# CdGa2Ag5

An optimized crystal structure of CdGa2Ag5 (PBE-GGA, Alexandria).

Output
* final energy: -2.6584 eV/atom
* space group: Pbam
* E_form: -5 meV per atom

Geometry as POSCAR:
```
CdGa2Ag5
1.0
9.552 0.000 0.000
0.000 10.130 0.000
0.000 0.000 5.986
Cd Ga Ag
4 8 20
Cartesian
2.295 0.924 0.000 Cd
2.481 5.988 0.000 Cd
7.071 4.141 0.000 Cd
7.257 9.206 0.000 Cd
0.000 5.065 1.490 Ga
0.000 5.065 4.496 Ga
2.224 0.987 2.993 Ga
2.552 6.052 2.993 Ga
4.776 0.000 1.490 Ga
4.776 0.000 4.496 Ga
7.000 4.078 2.993 Ga
7.328 9.142 2.993 Ga
0.000 0.000 1.535 Ag
0.000 0.000 4.451 Ag
0.073 7.538 0.000 Ag
0.115 7.464 2.993 Ag
2.330 3.465 1.522 Ag
2.330 3.465 4.464 Ag
2.446 8.529 1.522 Ag
2.446 8.529 4.464 Ag
4.662 2.399 2.993 Ag
4.703 2.474 0.000 Ag
4.776 5.065 1.535 Ag
4.776 5.065 4.451 Ag
4.849 7.656 0.000 Ag
4.891 7.731 2.993 Ag
7.106 1.600 1.522 Ag
7.106 1.600 4.464 Ag
7.222 6.665 1.522 Ag
7.222 6.665 4.464 Ag
9.438 2.666 2.993 Ag
9.479 2.591 0.000 Ag
```

# Cd2GaAg8

An optimized crystal structure of Cd2GaAg8 (PBE-GGA, Alexandria).

Output
* final energy: -2.4893 eV/atom
* space group: Immm
* E_form: 26 meV per atom

Geometry as POSCAR:
```
Cd2GaAg8
1.0
-2.135 4.339 5.710
2.135 -4.339 5.710
2.135 4.339 -5.710
Cd Ga Ag
2 1 8
Cartesian
0.000 0.000 1.585 Cd
0.000 0.000 9.835 Cd
0.000 0.000 5.710 Ga
2.135 2.255 -1.884 Ag
0.000 2.369 0.000 Ag
2.135 0.000 3.650 Ag
2.135 2.255 1.884 Ag
0.000 2.084 3.826 Ag
0.000 4.339 2.060 Ag
0.000 6.309 0.000 Ag
0.000 2.084 7.594 Ag
```

# Cd6GaAg12

An optimized crystal structure of Cd6GaAg12 (PBE-GGA, Alexandria).

Output
* final energy: -2.2297 eV/atom
* space group: R-3
* E_form: 19 meV per atom

Geometry as POSCAR:
```
Cd6GaAg12
1.0
5.690 3.285 3.308
-5.690 3.285 3.308
0.000 -6.570 3.308
Cd Ga Ag
6 1 12
Cartesian
-1.478 -0.860 2.423 Cd
-0.006 1.710 2.423 Cd
1.483 -0.850 2.423 Cd
-1.483 0.850 7.501 Cd
0.006 -1.710 7.501 Cd
1.478 0.860 7.501 Cd
0.000 0.000 4.962 Ga
-0.007 -3.891 2.875 Ag
-3.366 1.952 2.875 Ag
-1.460 -2.523 4.964 Ag
-2.915 0.003 4.960 Ag
-3.374 -1.939 7.049 Ag
1.454 -2.526 4.960 Ag
-1.454 2.526 4.964 Ag
3.374 1.939 2.875 Ag
2.915 -0.003 4.964 Ag
1.460 2.523 4.960 Ag
3.366 -1.952 7.049 Ag
0.007 3.892 7.049 Ag
```